Below is a geometry-optimized LaBr2F structure, with properties calculated at the PBEsol level.

Cell: 7.017 7.017 7.017 Å, 90.00 90.00 90.00°
Space group Fm-3m (No. 225)
Unique sites:
La 0.000 0.000 0.000 [4 per cell]
Br 0.250 0.250 0.250 [8 per cell]
F 0.000 0.000 0.500 [4 per cell]

Summary:
- V (Å³/atom) = 21.60
- formation energy without anion corrections (eV per atom) = -2.1973
- VASP energy (eV per atom) = -4.9507

Below is a geometry-optimized LaBrO2F structure, with properties calculated at the PBEsol level.

Cell: 4.687 4.687 4.528 Å, 90.00 90.00 90.00°
Space group P4/mmm (No. 123)
Unique sites:
La 0.000 0.000 0.000 [1 per cell]
Br 0.500 0.500 0.500 [1 per cell]
O 0.000 0.500 0.000 [2 per cell]
F 0.000 0.000 0.500 [1 per cell]

Summary:
- V (Å³/atom) = 19.89
- formation energy without anion corrections (eV per atom) = -1.5081
- VASP energy (eV per atom) = -5.4366